This record from the Alexandria database describes a geometry-optimized Sc2TlFeSb structure. The functional is PBE-GGA.

Lattice parameters (Å, degrees): 4.890 4.792 4.890 90.00 90.00 90.00
Atoms (fractional coordinates):
1 Sc 0.000 0.000 0.500
2 Sc 0.500 0.000 0.000
3 Sb 0.000 0.500 0.000
4 Tl 0.500 0.500 0.500
5 Fe 0.000 0.000 0.000

Output
symmetry	P4/mmm, No. 123
formation energy from raw total energies	-0.114	eV per atom
uncorrected energy	-5.637	eV per atom

This record from the Alexandria database describes a geometry-optimized FeSb3Se structure. The functional is PBE-GGA.

Lattice parameters (Å, degrees): 5.361 5.361 5.361 90.00 90.00 90.00
Site moments in Bohr magnetons follow the coordinates.
Atoms (fractional coordinates):
1 Sb 0.000 0.500 0.000  -0.03
2 Sb 0.000 0.000 0.500  -0.04
3 Sb 0.500 0.000 0.000  -0.04
4 Fe 0.500 0.500 0.500  3.33
5 Se 0.000 0.000 0.000  -0.02

Output
symmetry	Pm-3m, No. 221
formation energy from raw total energies	1.131	eV per atom
polymorph energy (0 for the lowest one)	1.003	eV/atom
uncorrected energy	-3.732	eV per atom

This record from the Alexandria database describes a geometry-optimized FeSb2Se structure. The functional is PBE-GGA.

Lattice parameters (Å, degrees): 6.839 6.839 6.839 152.14 143.34 46.66
Site moments in Bohr magnetons follow the coordinates.
Atoms (fractional coordinates):
1 Fe 0.250 0.750 0.500  2.29
2 Sb 0.077 0.077 0.000  -0.03
3 Sb 0.423 0.423 0.000  -0.03
4 Se 0.750 0.250 0.500  0.00

Output
symmetry	Immm, No. 71
formation energy from raw total energies	0.212	eV per atom
uncorrected energy	-4.836	eV per atom

This record from the Alexandria database describes a geometry-optimized FeSb2Se structure. The functional is PBE-GGA.

Lattice parameters (Å, degrees): 3.409 5.630 4.674 90.00 90.00 90.00
Site moments in Bohr magnetons follow the coordinates.
Atoms (fractional coordinates):
1 Fe 0.000 0.500 0.500  3.05
2 Sb 0.000 0.000 0.000  0.00
3 Sb 0.500 0.500 0.000  -0.02
4 Se 0.500 0.000 0.500  0.10

Output
symmetry	Pmmm, No. 47
formation energy from raw total energies	0.477	eV per atom
uncorrected energy	-4.571	eV per atom

Which of these has the lowest formation energy from raw total energies?
Sc2TlFeSb